Computed, not measured: an optimized crystal structure of LiCu2Ni8 at the PBE level of DFT.

## Properties
For the formation energy from the elements, the calculation gives 327.8 meV per atom. The space-group type is C2/m.

Cell: 5.380 5.380 6.450 Å, 119.61 119.61 71.17°
Fractional coordinates of all 11 atoms:
1 Li 0.000 0.000 0.000
2 Cu 0.214 0.214 0.869
3 Cu 0.786 0.786 0.131
4 Ni 0.076 0.715 0.560
5 Ni 0.285 0.924 0.440
6 Ni 0.334 0.334 0.325
7 Ni 0.437 0.437 0.776
8 Ni 0.563 0.563 0.224
9 Ni 0.666 0.666 0.675
10 Ni 0.715 0.076 0.560
11 Ni 0.924 0.285 0.440

***

Computed, not measured: an optimized crystal structure of CaInHg at the PBE level of DFT.

## Properties
For the formation energy from the elements, the calculation gives -419.4 meV per atom. The space-group type is Imma.

Cell: 5.016 7.381 8.659 Å, 90.00 90.00 90.00°
Fractional coordinates of all 12 atoms:
1 Ca 0.000 0.000 0.000
2 Ca 0.000 0.500 0.000
3 Ca 0.500 0.000 0.500
4 Ca 0.500 0.500 0.500
5 In 0.000 0.250 0.335
6 In 0.000 0.750 0.665
7 In 0.500 0.250 0.165
8 In 0.500 0.750 0.835
9 Hg 0.000 0.250 0.668
10 Hg 0.000 0.750 0.332
11 Hg 0.500 0.250 0.832
12 Hg 0.500 0.750 0.168

***

Computed, not measured: an optimized crystal structure of In2MoP at the PBE level of DFT.

## Properties
For the formation energy from the elements, the calculation gives 393.8 meV per atom. The space-group type is P4/mmm.

Cell: 3.726 3.726 5.394 Å, 90.00 90.00 90.00°
Fractional coordinates of all 4 atoms:
1 In 0.000 0.000 0.250
2 In 0.000 0.000 0.750
3 Mo 0.500 0.500 0.000
4 P 0.500 0.500 0.500

***

Computed, not measured: an optimized crystal structure of Tl3TcMo at the PBE level of DFT.

## Properties
For the formation energy from the elements, the calculation gives 1495.9 meV per atom. The space-group type is Pm-3m. For the relative energy among the computed polymorphs, the calculation gives 194 meV/atom.

Cell: 5.355 5.355 5.355 Å, 90.00 90.00 90.00°
Fractional coordinates of all 5 atoms:
1 Tl 0.000 0.000 0.500
2 Tl 0.000 0.500 0.000
3 Tl 0.500 0.000 0.000
4 Tc 0.500 0.500 0.500
5 Mo 0.000 0.000 0.000

***

Computed, not measured: an optimized crystal structure of CaSn3C at the PBE level of DFT.

## Properties
For the formation energy from the elements, the calculation gives 561.9 meV per atom. The space-group type is Pm-3m. For the relative energy among the computed polymorphs, the calculation gives 0 meV/atom.

Cell: 4.925 4.925 4.925 Å, 90.00 90.00 90.00°
Fractional coordinates of all 5 atoms:
1 Ca 0.000 0.000 0.000
2 Sn 0.000 0.500 0.500
3 Sn 0.500 0.000 0.500
4 Sn 0.500 0.500 0.000
5 C 0.500 0.500 0.500

***

Computed, not measured: an optimized crystal structure of BeRe2As at the PBE level of DFT.

## Properties
For the formation energy from the elements, the calculation gives 384.3 meV per atom. The space-group type is I-4m2. For the relative energy among the computed polymorphs, the calculation gives 422 meV/atom.

Cell: 3.770 3.770 7.709 Å, 90.00 90.00 90.00°
Fractional coordinates of all 8 atoms:
1 Be 0.000 0.000 0.000
2 Be 0.500 0.500 0.500
3 Re 0.000 0.000 0.500
4 Re 0.000 0.500 0.750
5 Re 0.500 0.000 0.250
6 Re 0.500 0.500 0.000
7 As 0.000 0.500 0.250
8 As 0.500 0.000 0.750

***

Computed, not measured: an optimized crystal structure of KCaCo at the PBE level of DFT.

## Properties
For the formation energy from the elements, the calculation gives 907.4 meV per atom. The space-group type is P3m1.

Cell: 5.300 5.300 3.706 Å, 90.00 90.00 120.00°
Fractional coordinates of all 3 atoms:
1 K 0.000 0.000 0.000
2 Ca 0.667 0.333 0.446
3 Co 0.333 0.667 0.607

***

Computed, not measured: an optimized crystal structure of Li2AlSe at the PBE level of DFT.

## Properties
The raw formation energy is -0.185 eV/atom. The space-group type is F-43m. For the relative energy among the computed polymorphs, the calculation gives 345 meV/atom.

Cell: 6.778 6.778 6.778 Å, 90.00 90.00 90.00°
Fractional coordinates of all 16 atoms:
1 Li 0.000 0.000 0.000
2 Li 0.000 0.500 0.500
3 Li 0.250 0.250 0.250
4 Li 0.250 0.750 0.750
5 Li 0.500 0.000 0.500
6 Li 0.500 0.500 0.000
7 Li 0.750 0.250 0.750
8 Li 0.750 0.750 0.250
9 Al 0.000 0.000 0.500
10 Al 0.000 0.500 0.000
11 Al 0.500 0.000 0.000
12 Al 0.500 0.500 0.500
13 Se 0.250 0.250 0.750
14 Se 0.250 0.750 0.250
15 Se 0.750 0.250 0.250
16 Se 0.750 0.750 0.750

***

Computed, not measured: an optimized crystal structure of Nd2Y2Ag3 at the PBE level of DFT.

## Properties
For the formation energy from the elements, the calculation gives -144.3 meV per atom. The space-group type is P-1.

Cell: 5.148 5.158 8.964 Å, 73.42 73.41 60.11°
Fractional coordinates of all 7 atoms:
1 Nd 0.126 0.127 0.119
2 Nd 0.874 0.873 0.881
3 Y 0.376 0.376 0.371
4 Y 0.624 0.624 0.629
5 Ag 0.000 0.000 0.500
6 Ag 0.254 0.253 0.739
7 Ag 0.746 0.747 0.261

***

Question: Which formula does entry 7 have?
Answer: KCaCo